A relaxed TbPm2Pd9 crystal. Source: the Alexandria database, functional PBE-GGA.

Computed properties:
As for the magnetization: 0.00 μB/f.u. The calculation puts the formation energy at -0.81 eV per atom. For the uncorrected energy, the calculation gives -5.884 eV per atom.

The structure in POSCAR format:
```
TbPm2Pd9
1.0
-1.659 3.808 -0.391
-2.629 -1.443 -2.900
-8.330 -2.714 8.903
Pd Pm Tb
9 2 1
Direct
0.500 0.500 0.668
0.500 0.000 0.837
0.000 0.500 0.500
0.500 0.000 0.163
0.500 0.500 0.000
0.500 0.500 0.332
0.500 0.000 0.500
0.000 0.500 0.837
0.000 0.500 0.163
0.000 0.000 0.669
0.000 0.000 0.331
0.000 0.000 0.000
```

***

A relaxed TbPmPd crystal. Source: the Alexandria database, functional PBE-GGA.

Computed properties:
As for the magnetization: 0.00 μB/f.u. The calculation puts the formation energy at -0.57 eV per atom. Its relative energy among the computed polymorphs is 0 meV/atom. For the uncorrected energy, the calculation gives -5.430 eV per atom.

The structure in POSCAR format:
```
TbPmPd
1.0
3.854 0.000 0.000
0.000 8.261 0.000
0.000 0.000 15.183
Pd Tb Pm
6 6 6
Direct
0.500 0.070 0.405
0.500 0.070 0.095
0.000 0.506 0.750
0.500 0.930 0.595
0.500 0.930 0.905
0.000 0.494 0.250
0.500 0.243 0.750
0.500 0.419 0.390
0.500 0.581 0.890
0.500 0.419 0.110
0.500 0.581 0.610
0.500 0.757 0.250
0.000 0.199 0.556
0.000 0.876 0.750
0.000 0.199 0.944
0.000 0.801 0.444
0.000 0.801 0.056
0.000 0.124 0.250
```

***

A relaxed TbPm2Pd crystal. Source: the Alexandria database, functional PBE-GGA.

Computed properties:
As for the magnetization: 0.00 μB/f.u. The calculation puts the formation energy at -0.41 eV per atom. Its relative energy among the computed polymorphs is 19 meV/atom. For the uncorrected energy, the calculation gives -5.242 eV per atom.

The structure in POSCAR format:
```
TbPm2Pd
1.0
3.866 0.000 0.000
-1.932 6.080 0.000
0.000 0.000 9.786
Pm Tb Pd
4 2 2
Direct
0.365 0.730 0.940
0.635 0.270 0.060
0.365 0.730 0.560
0.635 0.270 0.440
0.072 0.145 0.750
0.928 0.855 0.250
0.765 0.529 0.750
0.235 0.471 0.250
```

***

A relaxed Tb3PmPd crystal. Source: the Alexandria database, functional PBE-GGA.

Computed properties:
As for the magnetization: 0.00 μB/f.u. The calculation puts the formation energy at -0.26 eV per atom. For the uncorrected energy, the calculation gives -5.025 eV per atom.

The structure in POSCAR format:
```
Tb3PmPd
1.0
-4.415 -5.389 -3.055
5.071 -2.850 4.903
-3.488 4.958 3.936
Tb Pd Pm
6 2 2
Direct
0.699 0.427 0.125
0.234 0.497 0.331
0.301 0.573 0.875
0.766 0.503 0.669
0.834 0.097 0.331
0.166 0.903 0.669
0.351 0.273 0.624
0.649 0.727 0.376
0.269 0.959 0.227
0.731 0.041 0.773
```

***

A relaxed TbPmPd3 crystal. Source: the Alexandria database, functional PBE-GGA.

Computed properties:
As for the magnetization: 0.00 μB/f.u. The calculation puts the formation energy at -0.81 eV per atom. Its relative energy among the computed polymorphs is 16 meV/atom. For the uncorrected energy, the calculation gives -5.800 eV per atom.

The structure in POSCAR format:
```
TbPmPd3
1.0
5.559 0.000 0.000
0.000 8.494 -1.056
0.000 -4.826 9.661
Pd Pm Tb
12 4 4
Direct
0.750 0.914 0.029
0.250 0.086 0.971
0.500 0.250 0.250
0.000 0.750 0.750
0.250 0.586 0.471
0.500 0.750 0.750
0.755 0.607 0.132
0.750 0.414 0.529
0.000 0.250 0.250
0.245 0.393 0.868
0.745 0.107 0.632
0.255 0.893 0.368
0.250 0.824 0.059
0.250 0.324 0.559
0.750 0.676 0.441
0.750 0.176 0.941
0.752 0.009 0.331
0.252 0.491 0.169
0.748 0.509 0.831
0.248 0.991 0.669
```

***

A relaxed TbPmPd crystal. Source: the Alexandria database, functional PBE-GGA.

Computed properties:
As for the magnetization: 0.00 μB/f.u. The calculation puts the formation energy at -0.42 eV per atom. Its relative energy among the computed polymorphs is 151 meV/atom. For the uncorrected energy, the calculation gives -5.279 eV per atom.

The structure in POSCAR format:
```
TbPmPd
1.0
-2.190 -4.276 -1.237
2.744 -4.062 -0.767
-0.147 -3.744 3.252
Pm Tb Pd
1 1 1
Direct
0.000 0.000 0.000
0.500 0.500 0.500
0.250 0.250 0.250
```

***

A relaxed Tb4PmPd2 crystal. Source: the Alexandria database, functional PBE-GGA.

Computed properties:
As for the magnetization: 0.00 μB/f.u. The calculation puts the formation energy at -0.41 eV per atom. Its relative energy among the computed polymorphs is 0 meV/atom. For the uncorrected energy, the calculation gives -5.223 eV per atom.

The structure in POSCAR format:
```
Tb4PmPd2
1.0
6.484 0.000 0.000
0.000 7.205 -3.043
0.000 0.045 8.184
Tb Pd Pm
8 4 2
Direct
0.994 0.405 0.768
0.006 0.595 0.232
0.750 0.755 0.650
0.250 0.978 0.610
0.494 0.595 0.232
0.750 0.022 0.390
0.250 0.245 0.350
0.506 0.405 0.768
0.750 0.384 0.419
0.750 0.749 0.005
0.250 0.616 0.581
0.250 0.251 0.995
0.750 0.150 0.024
0.250 0.850 0.976
```

***

A relaxed TbPm2Pd crystal. Source: the Alexandria database, functional PBE-GGA.

Computed properties:
As for the magnetization: 0.00 μB/f.u. The calculation puts the formation energy at 0.08 eV per atom. Its relative energy among the computed polymorphs is 514 meV/atom. For the uncorrected energy, the calculation gives -4.747 eV per atom.

The structure in POSCAR format:
```
TbPm2Pd
1.0
-2.915 -0.373 1.862
-2.027 -2.786 -0.482
4.113 -6.613 8.366
Pd Tb Pm
1 1 2
Direct
0.000 0.000 0.000
0.500 0.500 0.500
0.079 0.079 0.762
0.921 0.921 0.238
```

***

A relaxed TbPmPd4 crystal. Source: the Alexandria database, functional PBE-GGA.

Computed properties:
As for the magnetization: 0.00 μB/f.u. The calculation puts the formation energy at -0.85 eV per atom. Its relative energy among the computed polymorphs is 0 meV/atom. For the uncorrected energy, the calculation gives -5.871 eV per atom.

The structure in POSCAR format:
```
TbPmPd4
1.0
0.249 2.717 -3.244
0.674 -4.501 -3.718
-9.783 -1.852 0.468
Pd Tb Pm
8 2 2
Direct
0.149 0.015 0.298
0.000 0.000 0.000
0.000 0.500 0.000
0.425 0.750 0.851
0.149 0.485 0.298
0.851 0.985 0.702
0.575 0.250 0.149
0.851 0.515 0.702
0.275 0.750 0.550
0.725 0.250 0.450
0.579 0.750 0.158
0.421 0.250 0.842
```

***

A relaxed TbPmTlPd crystal. Source: the Alexandria database, functional PBE-GGA.

Computed properties:
As for the magnetization: 0.00 μB/f.u. The calculation puts the formation energy at -0.51 eV per atom. For the uncorrected energy, the calculation gives -4.747 eV per atom.

The structure in POSCAR format:
```
TbPmTlPd
1.0
5.255 0.000 0.000
2.627 4.551 0.000
2.627 1.517 4.291
Pd Pm Tl Tb
1 1 1 1
Direct
0.500 0.500 0.500
0.750 0.750 0.750
0.000 0.000 0.000
0.250 0.250 0.250
```

***

A relaxed TbPmZnPd crystal. Source: the Alexandria database, functional PBE-GGA.

Computed properties:
As for the magnetization: 0.00 μB/f.u. The calculation puts the formation energy at -0.58 eV per atom. Its relative energy among the computed polymorphs is 0 meV/atom. For the uncorrected energy, the calculation gives -4.543 eV per atom.

The structure in POSCAR format:
```
TbPmZnPd
1.0
-0.930 3.127 1.554
-3.168 -1.431 0.984
2.882 -2.180 6.109
Zn Pd Tb Pm
1 1 1 1
Direct
0.500 0.500 0.595
0.500 0.500 0.122
0.000 0.000 0.350
0.000 0.000 0.860
```

***

A relaxed TbPmZnPd crystal. Source: the Alexandria database, functional PBE-GGA.

Computed properties:
As for the magnetization: 0.00 μB/f.u. The calculation puts the formation energy at -0.55 eV per atom. Its relative energy among the computed polymorphs is 27 meV/atom. For the uncorrected energy, the calculation gives -4.516 eV per atom.

The structure in POSCAR format:
```
TbPmZnPd
1.0
-1.596 -0.985 4.724
3.097 -2.317 3.298
1.928 2.590 3.926
Tb Pd Zn Pm
1 1 1 1
Direct
0.750 0.750 0.750
0.500 0.500 0.500
0.000 0.000 0.000
0.250 0.250 0.250
```

***

A relaxed Pm8TcPd2 crystal. Source: the Alexandria database, functional PBE-GGA.

Computed properties:
As for the magnetization: 0.00 μB/f.u. The calculation puts the formation energy at -0.19 eV per atom. Its relative energy among the computed polymorphs is 63 meV/atom. For the uncorrected energy, the calculation gives -5.529 eV per atom.

The structure in POSCAR format:
```
Pm8TcPd2
1.0
-2.871 4.457 2.911
-5.429 -2.019 -5.418
1.138 -5.180 5.898
Pm Pd Tc
8 2 1
Direct
0.821 0.645 0.645
0.381 0.912 0.667
0.991 0.791 0.204
0.991 0.204 0.791
0.381 0.667 0.912
0.585 0.334 0.091
0.585 0.091 0.334
0.172 0.366 0.366
0.498 0.309 0.704
0.498 0.704 0.309
0.098 0.011 0.011
```

***

A relaxed PmTcPd crystal. Source: the Alexandria database, functional PBE-GGA.

Computed properties:
As for the magnetization: 0.00 μB/f.u. The calculation puts the formation energy at -0.02 eV per atom. For the uncorrected energy, the calculation gives -6.793 eV per atom.

The structure in POSCAR format:
```
PmTcPd
1.0
4.984 0.000 0.000
-2.492 2.491 0.000
0.000 0.000 9.881
Tc Pm Pd
2 2 2
Direct
0.694 0.389 0.381
0.694 0.389 0.619
0.194 0.389 0.814
0.194 0.389 0.186
0.694 0.389 0.000
0.194 0.389 0.500
```

***

A relaxed Pm2TcPd crystal. Source: the Alexandria database, functional PBE-GGA.

Computed properties:
As for the magnetization: 0.00 μB/f.u. The calculation puts the formation energy at -0.27 eV per atom. Its relative energy among the computed polymorphs is 0 meV/atom. For the uncorrected energy, the calculation gives -6.539 eV per atom.

The structure in POSCAR format:
```
Pm2TcPd
1.0
3.575 0.000 0.000
0.000 3.575 0.000
0.000 0.000 7.007
Pd Pm Tc
1 2 1
Direct
0.500 0.500 0.500
0.000 0.000 0.758
0.000 0.000 0.242
0.500 0.500 0.000
```

***

A relaxed Pm6TcPd2 crystal. Source: the Alexandria database, functional PBE-GGA.

Computed properties:
As for the magnetization: 0.00 μB/f.u. The calculation puts the formation energy at -0.32 eV per atom. For the uncorrected energy, the calculation gives -5.791 eV per atom.

The structure in POSCAR format:
```
Pm6TcPd2
1.0
-3.371 -4.875 -3.027
-1.132 -3.387 6.716
-8.758 5.127 1.109
Pm Pd Tc
12 4 2
Direct
0.670 0.178 0.065
0.156 0.323 0.932
0.656 0.177 0.432
0.330 0.822 0.935
0.651 0.461 0.748
0.844 0.677 0.068
0.349 0.539 0.252
0.830 0.678 0.435
0.170 0.322 0.565
0.849 0.961 0.752
0.344 0.823 0.568
0.151 0.039 0.248
0.564 0.881 0.252
0.436 0.119 0.748
0.064 0.619 0.752
0.936 0.381 0.248
0.500 0.500 0.000
0.000 0.000 0.500
```

***

A relaxed Pm8TcPd2 crystal. Source: the Alexandria database, functional PBE-GGA.

Computed properties:
As for the magnetization: 0.00 μB/f.u. The calculation puts the formation energy at -0.25 eV per atom. Its relative energy among the computed polymorphs is 0 meV/atom. For the uncorrected energy, the calculation gives -5.592 eV per atom.

The structure in POSCAR format:
```
Pm8TcPd2
1.0
-1.657 -4.271 -2.396
4.318 1.320 -5.339
5.505 -2.838 6.828
Pm Tc Pd
8 1 2
Direct
0.335 0.028 0.670
0.410 0.554 0.820
0.971 0.210 0.943
0.590 0.446 0.180
0.200 0.319 0.400
0.800 0.681 0.600
0.029 0.790 0.057
0.665 0.972 0.330
0.500 0.000 0.000
0.188 0.719 0.376
0.812 0.281 0.624
```

***

A relaxed Pm6Tc2Pd crystal. Source: the Alexandria database, functional PBE-GGA.

Computed properties:
As for the magnetization: 0.00 μB/f.u. The calculation puts the formation energy at -0.13 eV per atom. For the uncorrected energy, the calculation gives -6.175 eV per atom.

The structure in POSCAR format:
```
Pm6Tc2Pd
1.0
-5.753 -4.250 4.783
7.964 -2.429 2.168
-0.504 8.493 1.285
Pd Pm Tc
2 12 4
Direct
0.000 0.500 0.500
0.000 0.000 0.000
0.199 0.774 0.974
0.801 0.774 0.575
0.290 0.973 0.683
0.527 0.716 0.812
0.096 0.284 0.812
0.710 0.393 0.683
0.710 0.027 0.317
0.904 0.716 0.188
0.290 0.607 0.317
0.199 0.226 0.425
0.473 0.284 0.188
0.801 0.226 0.026
0.374 0.000 0.374
0.500 0.616 0.116
0.500 0.384 0.884
0.626 0.000 0.626
```

***

A relaxed Pm4TcPd crystal. Source: the Alexandria database, functional PBE-GGA.

Computed properties:
As for the magnetization: 0.00 μB/f.u. The calculation puts the formation energy at -0.28 eV per atom. For the uncorrected energy, the calculation gives -6.038 eV per atom.

The structure in POSCAR format:
```
Pm4TcPd
1.0
-4.103 0.656 5.007
1.705 -7.853 -0.843
6.705 4.185 1.677
Pm Pd Tc
8 2 2
Direct
0.093 0.949 0.296
0.593 0.296 0.949
0.781 0.634 0.769
0.719 0.231 0.366
0.219 0.366 0.231
0.407 0.704 0.051
0.907 0.051 0.704
0.281 0.769 0.634
0.250 0.366 0.634
0.750 0.634 0.366
0.750 0.997 0.003
0.250 0.003 0.997
```

***

A relaxed Pm2TcPd crystal. Source: the Alexandria database, functional PBE-GGA.

Computed properties:
As for the magnetization: 0.00 μB/f.u. The calculation puts the formation energy at -0.21 eV per atom. Its relative energy among the computed polymorphs is 60 meV/atom. For the uncorrected energy, the calculation gives -6.479 eV per atom.

The structure in POSCAR format:
```
Pm2TcPd
1.0
5.008 0.000 0.000
2.504 4.337 0.000
2.504 1.446 4.089
Pm Tc Pd
2 1 1
Direct
0.250 0.250 0.250
0.750 0.750 0.750
0.000 0.000 0.000
0.500 0.500 0.500
```